# Hf2ZrRu2 PBE-GGA relaxed
data_Hf2ZrRu2
_symmetry_space_group_name_H-M 'P 4/m b m'
_symmetry_Int_Tables_number 127
_symmetry_space_group_name_Hall '-P 4 2ab'
_cell_length_a 7.595
_cell_length_b 7.595
_cell_length_c 3.272
_cell_angle_alpha 90.00
_cell_angle_beta 90.00
_cell_angle_gamma 90.00
loop_
_atom_site_label
_atom_site_type_symbol
_atom_site_fract_x
_atom_site_fract_y
_atom_site_fract_z
_atom_site_occupancy
Hf1 Hf 0.154 0.346 0.000 1
Zr1 Zr 0.000 0.000 0.500 1
Ru1 Ru 0.143 0.643 0.500 1
# E above lowest polymorph (kJ/mol of formula units): 0
# Total moment (μB/f.u.): 0.00
# Raw total energy (eV/atom): -9.79
# DOS at the Fermi energy (states/eV/f.u.): 6.20
# Formation energy (eV per atom): -0.389

---

# Hf3ZrRu PBE-GGA relaxed
data_Hf3ZrRu
_symmetry_space_group_name_H-M 'P m -3 m'
_symmetry_Int_Tables_number 221
_symmetry_space_group_name_Hall '-P 4 2 3'
_cell_length_a 4.950
_cell_length_b 4.950
_cell_length_c 4.950
_cell_angle_alpha 90.00
_cell_angle_beta 90.00
_cell_angle_gamma 90.00
loop_
_atom_site_label
_atom_site_type_symbol
_atom_site_fract_x
_atom_site_fract_y
_atom_site_fract_z
_atom_site_occupancy
Hf1 Hf 0.000 0.000 0.500 1
Zr1 Zr 0.500 0.500 0.500 1
Ru1 Ru 0.000 0.000 0.000 1
# E above lowest polymorph (kJ/mol of formula units): 0
# Total moment (μB/f.u.): 0.00
# Raw total energy (eV/atom): -9.23
# DOS at the Fermi energy (states/eV/f.u.): 5.25
# Formation energy (eV per atom): 0.310

---

# Hf2ZrRu3 PBE-GGA relaxed
data_Hf2ZrRu3
_symmetry_space_group_name_H-M 'P 4/m m m'
_symmetry_Int_Tables_number 123
_symmetry_space_group_name_Hall '-P 4 2'
_cell_length_a 3.245
_cell_length_b 3.245
_cell_length_c 9.815
_cell_angle_alpha 90.00
_cell_angle_beta 90.00
_cell_angle_gamma 90.00
loop_
_atom_site_label
_atom_site_type_symbol
_atom_site_fract_x
_atom_site_fract_y
_atom_site_fract_z
_atom_site_occupancy
Hf1 Hf 0.000 0.000 0.166 1
Zr1 Zr 0.000 0.000 0.500 1
Ru1 Ru 0.500 0.500 0.000 1
Ru2 Ru 0.500 0.500 0.330 1
# Total moment (μB/f.u.): 0.00
# Raw total energy (eV/atom): -10.14
# DOS at the Fermi energy (states/eV/f.u.): 1.51
# Formation energy (eV per atom): -0.758